Density functional theory data (PBE) for crystalline PmAs12Ru4 at its relaxed geometry.

Properties
Its formation energy is -0.455 eV per atom. For the total moment, the calculation gives 0.0000 μB per atom. Its total DFT energy (no corrections) is -0.4556 Ry/atom.

POSCAR file:
```
PmAs12Ru4
1.0
-4.2971 4.2971 4.2971
4.2971 -4.2971 4.2971
4.2971 4.2971 -4.2971
Pm As Ru
1 12 4
Direct
0.0000 0.0000 0.0000
0.1499 0.3491 0.4990
0.1499 0.6509 0.8009
0.1991 0.8501 0.3491
0.3491 0.1991 0.8501
0.3491 0.4990 0.1499
0.4990 0.1499 0.3491
0.5010 0.8501 0.6509
0.6509 0.5010 0.8501
0.6509 0.8009 0.1499
0.8009 0.1499 0.6509
0.8501 0.3491 0.1991
0.8501 0.6509 0.5010
0.0000 0.0000 0.5000
0.0000 0.5000 0.0000
0.5000 0.0000 0.0000
0.5000 0.5000 0.5000
```

---

Density functional theory data (PBE) for crystalline MgH8Rh2 at its relaxed geometry.

Properties
For the total moment, the calculation gives 0.0000 μB per atom. Its total DFT energy (no corrections) is -0.2930 Ry/atom.

POSCAR file:
```
MgH8Rh2
1.0
3.3064 0.0000 0.0000
1.6193 4.4169 0.0000
1.6384 -0.1518 5.6279
Mg H Rh
1 8 2
Direct
0.0000 0.0000 0.0000
0.0016 0.3100 0.6873
0.3304 0.1117 0.2345
0.3662 0.3655 0.9111
0.3808 0.6080 0.6414
0.6192 0.3920 0.3586
0.6338 0.6345 0.0889
0.6696 0.8883 0.7655
0.9984 0.6900 0.3127
0.4321 0.7831 0.3554
0.5679 0.2169 0.6446
```

---

Density functional theory data (PBE) for crystalline BeP2W at its relaxed geometry.

Properties
Its formation energy is 0.232 eV per atom. For the total moment, the calculation gives 0.0000 μB per atom. Its total DFT energy (no corrections) is -0.4882 Ry/atom.

POSCAR file:
```
BeP2W
1.0
-2.6715 2.6715 5.0140
2.6715 -2.6715 5.0140
2.6715 2.6715 -5.0140
Be P W
2 4 2
Direct
0.0000 0.0000 0.0000
0.7500 0.2500 0.5000
0.0982 0.6250 0.9732
0.3750 0.3482 0.4732
0.6518 0.1250 0.0268
0.8750 0.9018 0.5268
0.2500 0.7500 0.5000
0.5000 0.5000 0.0000
```

---

Density functional theory data (PBE) for crystalline MgAs at its relaxed geometry.

Properties
Its formation energy is -0.351 eV per atom. For the total moment, the calculation gives 0.0000 μB per atom. Its total DFT energy (no corrections) is -0.2553 Ry/atom. The calculation puts the offset from the most stable computed form at 0.13 eV/f.u.

POSCAR file:
```
MgAs
1.0
3.2467 0.0000 0.0000
1.5286 3.4006 0.0000
1.5617 0.8877 3.6887
Mg As
1 1
Direct
0.0000 0.0000 0.0000
0.5000 0.5000 0.5000
```

---

Density functional theory data (PBE) for crystalline Ca5DyCd6 at its relaxed geometry.

Properties
Its formation energy is -0.355 eV per atom. For the total moment, the calculation gives 0.0000 μB per atom. Its total DFT energy (no corrections) is -0.1492 Ry/atom.

POSCAR file:
```
Ca5DyCd6
1.0
-2.7039 3.8041 8.1083
2.7039 -3.8041 8.1083
2.7039 3.8041 -8.1083
Ca Dy Cd
5 1 6
Direct
0.0000 0.0000 0.0000
0.1644 0.6644 0.5000
0.3302 0.3302 0.0000
0.6698 0.6698 0.0000
0.8356 0.3356 0.5000
0.5000 0.0000 0.5000
0.0938 0.8365 0.2573
0.2654 0.5000 0.7654
0.4208 0.1635 0.2573
0.5792 0.8365 0.7427
0.7346 0.5000 0.2346
0.9062 0.1635 0.7427
```

---

Density functional theory data (PBE) for crystalline PrEr3Pb2 at its relaxed geometry.

Properties
Its formation energy is -0.377 eV per atom. For the total moment, the calculation gives 0.0000 μB per atom. Its total DFT energy (no corrections) is -0.3448 Ry/atom. The calculation puts the offset from the most stable computed form at 0.00 eV/f.u.

POSCAR file:
```
PrEr3Pb2
1.0
4.5697 0.0000 0.0000
0.0000 4.5697 0.0000
0.0000 0.0000 8.6227
Pr Er Pb
1 3 2
Direct
0.0000 0.0000 0.0000
0.0000 0.5000 0.3425
0.5000 0.0000 0.6575
0.5000 0.5000 0.0000
0.0000 0.5000 0.7084
0.5000 0.0000 0.2916
```